First-principles (GGA+U) data for a geometry-optimized PaCoAsO5 structure, as listed in Alexandria.

Cell and atoms, written as CIF:
```
data_PaCoAsO5
_chemical_formula_sum 'Pa4 Co4 As4 O20'
_cell_length_a 7.6627
_cell_length_b 8.5089
_cell_length_c 7.5017
_cell_angle_alpha 90.00
_cell_angle_beta 113.42
_cell_angle_gamma 90.00
_space_group_name_H-M_alt 'C 1 2/c 1'
_space_group_IT_number 15
_space_group_name_Hall '-C 2yc'
loop_
_atom_site_label
_atom_site_fract_x
_atom_site_fract_y
_atom_site_fract_z
Pa1 0.0000 0.0388 0.2500
Co1 0.2500 0.2500 0.0000
As1 0.0000 0.4369 0.2500
O1 0.0000 0.1973 0.7500
O2 0.0716 0.2845 0.1296
O3 0.1968 0.0041 0.5496
```

Values from the calculation:
E, eV/cell: -241.6